4
Lattice="-1.998 1.622 -7.574 7.347 -2.042 2.417 1.018 -3.701 -2.309" Properties=species:S:1:pos:R:3 comment="PBE K2BaPb, optimized geometry" delta_e_f_ev_per_atom=-0.05 spacegroup="C2/m (12)" pbc="T T T"
K 2.674 -0.210 -2.578
K 0.000 0.000 0.000
Pb -0.490 -1.040 -4.942
Ba 4.182 -2.871 0.054


4
Lattice="-0.544 -6.068 2.162 -0.689 -1.726 -5.017 5.287 -0.653 -0.502" Properties=species:S:1:pos:R:3 comment="PBE K2BaPb, optimized geometry" delta_e_f_ev_per_atom=-0.10 spacegroup="P4/mmm (123)" pbc="T T T"
Ba 2.371 -3.361 0.830
Pb -0.617 -3.897 -1.428
K 0.000 0.000 0.000
K 2.299 -1.189 -2.760


5
Lattice="6.437 0.000 0.000 0.000 6.437 0.000 0.000 0.000 6.437" Properties=species:S:1:pos:R:3 comment="PBE KBaPb3, optimized geometry" delta_e_f_ev_per_atom=0.45 spacegroup="Pm-3m (221)" pbc="T T T"
K 3.218 3.218 3.218
Pb 0.000 3.218 0.000
Pb 3.218 0.000 0.000
Pb 0.000 0.000 3.218
Ba 0.000 0.000 0.000


4
Lattice="-1.282 0.107 4.121 -3.155 -2.804 -0.909 7.095 -8.770 2.434" Properties=species:S:1:pos:R:3 comment="PBE K2BaPb, optimized geometry" delta_e_f_ev_per_atom=-0.17 spacegroup="P4mm (99)" pbc="T T T"
Pb 3.582 -4.429 1.229
Ba 2.584 -7.286 3.254
K 0.001 -0.002 0.000
K 0.037 -4.137 2.380


4
Lattice="9.036 0.213 -0.197 7.946 4.306 -0.197 2.178 0.580 5.676" Properties=species:S:1:pos:R:3 comment="PBE K2BaPb, optimized geometry" delta_e_f_ev_per_atom=-0.17 spacegroup="C2/m (12)" pbc="T T T"
K 10.585 2.817 2.232
K 15.977 4.252 0.016
Pb 4.790 1.275 1.321
Ba 14.370 3.824 3.962


5
Lattice="-3.301 -4.992 -0.313 3.386 -2.507 4.262 -3.681 2.171 4.201" Properties=species:S:1:pos:R:3 comment="PBE KBaPb3, optimized geometry" delta_e_f_ev_per_atom=0.35 spacegroup="Pm-3m (221)" pbc="T T T"
Ba -1.798 -2.664 4.075
Pb 1.693 -1.253 2.131
Pb -1.841 1.085 2.101
Pb -1.651 -2.496 -0.157
K 0.000 0.000 0.000


3
Lattice="5.959 0.000 0.000 -2.979 5.160 0.000 0.000 0.000 3.992" Properties=species:S:1:pos:R:3 comment="PBE KBaPb, optimized geometry" delta_e_f_ev_per_atom=-0.20 spacegroup="P3m1 (156)" pbc="T T T"
Pb 0.000 3.440 2.511
Ba 0.000 0.000 0.120
K 2.979 1.720 1.361


4
Lattice="-1.076 2.874 -3.760 -4.293 -2.215 -0.468 -3.387 5.476 5.155" Properties=species:S:1:pos:R:3 comment="PBE K2BaPb, optimized geometry" delta_e_f_ev_per_atom=0.03 spacegroup="P4/mmm (123)" pbc="T T T"
Pb -3.531 1.698 -0.825
K -1.537 2.485 2.340
K -0.156 0.252 0.238
Ba -5.225 4.436 1.753


12
Lattice="1.874 6.449 1.256 0.456 2.232 6.441 11.074 -0.162 2.895" Properties=species:S:1:pos:R:3 comment="PBE K2BaPb9, optimized geometry" delta_e_f_ev_per_atom=-0.20 spacegroup="R-3m (166)" pbc="T T T"
Pb 1.657 5.756 5.135
Pb 11.747 2.762 5.457
Pb 9.425 3.834 3.416
Pb 6.702 4.259 5.296
Pb 9.656 4.964 6.677
Pb 3.748 3.554 3.915
Pb 3.979 4.684 7.176
Pb 4.697 6.819 4.551
Pb 8.708 1.699 6.041
K 6.688 1.139 2.755
K 6.716 7.379 7.837
Ba 0.000 0.000 0.000


5
Lattice="6.949 0.000 0.000 0.000 6.949 0.000 0.000 0.000 6.949" Properties=species:S:1:pos:R:3 comment="PBE KBa3Pb, optimized geometry" delta_e_f_ev_per_atom=-0.15 spacegroup="Pm-3m (221)" pbc="T T T"
Pb 0.000 0.000 0.000
Ba 0.000 3.474 0.000
Ba 3.474 0.000 0.000
Ba 0.000 0.000 3.474
K 3.474 3.474 3.474


5
Lattice="-0.513 -2.308 5.861 6.230 0.682 0.814 -0.796 5.004 1.901" Properties=species:S:1:pos:R:3 comment="PBE KBa2PdPb, optimized geometry" delta_e_f_ev_per_atom=-0.28 spacegroup="P4/mmm (123)" pbc="T T T"
K 2.460 1.689 4.288
Pd 0.000 0.000 0.000
Ba -0.257 -1.154 2.930
Ba 3.115 0.341 0.407
Pb -0.398 2.502 0.951


5
Lattice="-2.995 1.007 -5.443 5.335 -1.121 -3.143 -1.289 -5.347 -0.280" Properties=species:S:1:pos:R:3 comment="PBE KBa2PtPb, optimized geometry" delta_e_f_ev_per_atom=-0.33 spacegroup="P4/mmm (123)" pbc="T T T"
Pt 0.000 0.000 0.000
Ba 2.668 -0.561 -1.572
Ba -1.497 0.503 -2.721
Pb -0.644 -2.673 -0.140
K 0.526 -2.731 -4.433


4
Lattice="-3.727 -3.112 4.133 2.264 -5.061 3.149 1.156 0.395 6.258" Properties=species:S:1:pos:R:3 comment="PBE KRbBaPb, optimized geometry" delta_e_f_ev_per_atom=-0.14 spacegroup="F-43m (216)" pbc="T T T"
K -0.231 -5.834 10.155
Rb 0.000 0.000 0.000
Pb -0.077 -1.945 3.385
Ba -0.154 -3.889 6.770


5
Lattice="5.866 0.000 0.000 0.000 6.225 0.000 0.000 0.000 5.866" Properties=species:S:1:pos:R:3 comment="PBE KBa2RePb, optimized geometry" delta_e_f_ev_per_atom=0.87 spacegroup="P4/mmm (123)" pbc="T T T"
K 0.000 3.113 0.000
Ba 2.933 0.000 0.000
Ba 0.000 0.000 2.933
Pb 2.933 3.113 2.933
Re 0.000 0.000 0.000


5
Lattice="5.500 0.000 0.000 0.000 5.500 0.000 0.000 0.000 5.807" Properties=species:S:1:pos:R:3 comment="PBE KBaRhPb2, optimized geometry" delta_e_f_ev_per_atom=-0.15 spacegroup="P4/mmm (123)" pbc="T T T"
Pb 0.000 2.750 0.000
Pb 2.750 0.000 0.000
K 2.750 2.750 2.904
Rh 0.000 0.000 0.000
Ba 0.000 0.000 2.904


5
Lattice="6.119 0.000 0.000 0.000 6.119 0.000 0.000 0.000 5.848" Properties=species:S:1:pos:R:3 comment="PBE KBa2PbS, optimized geometry" spacegroup="P4/mmm (123)" raw_formation_energy_ev_per_fu=-4.30 pbc="T T T"
K 0.000 0.000 2.924
Ba 3.059 0.000 0.000
Ba 0.000 3.059 0.000
Pb 3.059 3.059 2.924
S 0.000 0.000 0.000


10
Lattice="-3.854 -2.949 1.787 4.743 -6.949 6.243 -0.107 1.394 9.553" Properties=species:S:1:pos:R:3 comment="PBE KBaSb2Pb, optimized geometry" spacegroup="C2/m (12)" raw_formation_energy_ev_per_fu=-2.43 pbc="T T T"
Sb -2.229 -4.194 3.237
Sb 2.322 -6.077 9.945
Sb -1.541 -2.427 7.638
Sb 3.011 -4.310 14.346
K 0.454 -5.395 7.041
K 0.328 -3.109 10.542
Pb 0.601 -8.689 9.405
Pb 0.181 0.185 8.177
Ba 0.945 -6.860 13.166
Ba -0.164 -1.644 4.417


16
Lattice="-8.737 2.929 -0.038 -2.953 -8.674 0.973 6.060 3.546 6.024" Properties=species:S:1:pos:R:3 comment="PBE KBa2PbSe4, optimized geometry" spacegroup="Imma (74)" raw_formation_energy_ev_per_fu=-10.24 pbc="T T T"
Ba 3.030 1.773 3.012
Ba -4.368 1.464 -0.019
Ba -1.339 3.237 2.993
Ba -5.845 -2.873 0.468
Se -2.775 -0.814 6.654
Se -2.855 -1.386 0.305
Se -4.372 -5.885 0.760
Se -5.661 -2.503 3.786
Se 0.032 0.303 3.173
Se -1.444 -3.908 3.754
Se -1.258 3.685 6.199
Se -4.186 1.708 3.205
K -1.476 -4.337 0.487
K -7.183 0.364 3.460
Pb -2.677 6.475 5.985
Pb -2.815 -1.100 3.479


5
Lattice="6.952 0.000 0.000 0.000 6.952 0.000 0.000 0.000 6.591" Properties=species:S:1:pos:R:3 comment="PBE KBa2SrPb, optimized geometry" delta_e_f_ev_per_atom=-0.15 spacegroup="P4/mmm (123)" pbc="T T T"
Ba 0.000 3.476 0.000
Ba 3.476 0.000 0.000
Pb 0.000 0.000 0.000
K 3.476 3.476 3.295
Sr 0.000 0.000 3.295


4
Lattice="6.241 0.000 0.000 3.120 5.405 0.000 3.120 1.802 5.096" Properties=species:S:1:pos:R:3 comment="PBE KBaSrPb, optimized geometry" delta_e_f_ev_per_atom=-0.22 spacegroup="F-43m (216)" pbc="T T T"
Ba 9.361 5.405 3.822
K 6.241 3.603 2.548
Sr 3.120 1.802 1.274
Pb 0.000 0.000 0.000


5
Lattice="-1.835 0.206 6.331 0.032 -6.591 0.224 6.665 0.098 1.928" Properties=species:S:1:pos:R:3 comment="PBE KBaSr2Pb, optimized geometry" delta_e_f_ev_per_atom=-0.15 spacegroup="P4/mmm (123)" pbc="T T T"
K 2.431 -3.144 4.242
Pb 0.000 0.000 0.000
Sr -0.917 0.103 3.166
Sr 0.016 -3.296 0.112
Ba 3.333 0.049 0.964


7
Lattice="5.591 0.000 0.000 2.796 4.842 0.000 2.796 1.614 10.198" Properties=species:S:1:pos:R:3 comment="PBE KBa2Tl2Pb2, optimized geometry" delta_e_f_ev_per_atom=-0.23 spacegroup="R-3m (166)" pbc="T T T"
Pb 5.591 3.228 2.985
Pb 5.591 3.228 7.213
K 0.000 0.000 0.000
Tl 8.387 4.842 8.368
Tl 2.796 1.614 1.830
Ba 2.796 1.614 5.962
Ba 8.387 4.842 4.236


4
Lattice="-1.575 4.354 3.840 -5.561 0.126 2.288 -0.893 -1.289 5.807" Properties=species:S:1:pos:R:3 comment="PBE KBaTlPb, optimized geometry" delta_e_f_ev_per_atom=-0.28 spacegroup="F-43m (216)" pbc="T T T"
Tl 0.000 0.000 0.000
K -6.022 2.393 8.951
Ba -2.007 0.798 2.984
Pb -4.014 1.595 5.967


7
Lattice="5.687 0.000 0.000 2.844 4.925 0.000 2.844 1.642 8.922" Properties=species:S:1:pos:R:3 comment="PBE K2BaTl2Pb2, optimized geometry" delta_e_f_ev_per_atom=-0.23 spacegroup="R-3m (166)" pbc="T T T"
Pb 5.687 3.284 6.667
Pb 5.687 3.284 2.255
K 8.531 4.925 3.940
K 2.844 1.642 4.983
Ba 0.000 0.000 0.000
Tl 8.531 4.925 7.612
Tl 2.844 1.642 1.310


4
Lattice="5.922 0.000 0.000 2.961 5.128 0.000 2.961 1.709 4.835" Properties=species:S:1:pos:R:3 comment="PBE KBaZnPb, optimized geometry" delta_e_f_ev_per_atom=-0.13 spacegroup="F-43m (216)" pbc="T T T"
K 2.961 1.709 1.209
Pb 0.000 0.000 0.000
Ba 8.882 5.128 3.626
Zn 5.922 3.419 2.417


6
Lattice="5.674 0.000 0.000 2.837 4.913 0.000 2.837 1.638 4.632" Properties=species:S:1:pos:R:3 comment="PBE KBaPd4, optimized geometry" delta_e_f_ev_per_atom=-0.35 spacegroup="F-43m (216)" pbc="T T T"
Pd 5.674 1.636 2.896
Pd 4.254 4.095 2.896
Pd 7.093 4.095 2.896
Pd 5.674 3.276 0.578
Ba 2.837 1.638 1.158
K 0.000 0.000 0.000


8
Lattice="-4.416 -0.558 7.267 7.272 0.230 4.437 1.246 3.011 5.985" Properties=species:S:1:pos:R:3 comment="PBE KBaPd2, optimized geometry" delta_e_f_ev_per_atom=0.02 spacegroup="I-42d (122)" pbc="T T T"
Pd 4.324 0.829 5.145
Pd 1.973 2.134 8.858
Pd -1.559 0.431 6.625
Pd 3.466 1.973 14.749
K 4.973 1.539 8.137
K 1.428 -0.164 5.852
Ba 0.000 0.000 0.000
Ba -0.871 1.145 9.552


| no. | N(E_F) (states/eV per cell) | magnetization (μB/f.u.) |
| --- | --- | --- |
| 1 | 2.30 | 0.00 |
| 2 | 5.20 | 0.59 |
| 3 | 6.25 | 0.00 |
| 4 | 3.01 | 0.00 |
| 5 | 1.41 | 0.00 |
| 6 | 4.64 | 0.00 |
| 7 | 1.99 | 0.00 |
| 8 | 3.50 | 0.47 |
| 9 | 4.45 | 0.00 |
| 10 | 6.37 | 0.00 |
| 11 | 4.19 | 0.76 |
| 12 | 3.99 | 0.70 |
| 13 | 1.68 | 0.00 |
| 14 | 5.97 | 1.38 |
| 15 | 4.56 | 0.00 |
| 16 | 6.07 | 0.62 |
| 17 | 6.43 | 0.00 |
| 18 | 25.43 | 0.00 |
| 19 | 4.20 | 0.08 |
| 20 | 2.29 | 0.00 |
| 21 | 4.20 | 0.13 |
| 22 | 1.70 | 0.00 |
| 23 | 1.27 | 0.00 |
| 24 | 3.81 | 0.00 |
| 25 | 5.18 | 0.00 |
| 26 | 5.26 | 0.00 |
| 27 | 3.07 | 0.00 |